Compound: PrEr4Tm
Source: the Alexandria database
Functional: PBE-GGA
Structure: relaxed

abc: 5.6279 22.3649 6.0530
angles: 90.00 90.00 90.00
With the nearest neighbours (Å) after each atom.
Space group Imma (No. 74)
Inequivalent atoms, fractional coordinates:
Pr (0.0000, 0.0000, 0.0000) [4 per cell]  6 Er 3.35-3.53
Er (0.0000, 0.0933, 0.4329) [8 per cell]  3 Pr 3.35-3.53, 6 Er 3.41-3.58, 1 Tm 3.51
Er (0.0000, 0.1699, 0.9222) [8 per cell]  7 Er 3.41-3.58, 4 Tm 3.47-3.52
Tm (0.0000, 0.2500, 0.4225) [4 per cell]  10 Er 3.47-3.52, 2 Tm 3.50

Calculated values
For the formation enthalpy at 0 K, the calculation gives 0.05 eV per atom. The calculation puts the density at 8534 kg/m3. The calculation puts the total energy at -4.536 eV/atom. The total magnetic moment is 0.00 Bohr magnetons per cell. The calculation puts the density of states at the Fermi level at 1.576 states/eV per atom.